This record from Alexandria via LeMat-Bulk describes a relaxed PmMn2ReO8 crystal. The functional is GGA+U.

abc: 7.082 6.586 6.669
angles: 90.00 97.71 90.00
Space group C2/m (No. 12)
Symmetry-distinct sites (fractional):
1 Pm 0.000 0.000 0.000
2 Mn 0.028 0.500 0.234
3 Re 0.000 0.000 0.500
4 O 0.001 0.199 0.293
5 O 0.174 0.500 0.983
6 O 0.231 0.500 0.460

total magnetic moment	0.667	μB/atom
VASP energy	-7.851	eV per atom